1.
Here is an optimized crystal structure of LiTa2S5 from Alexandria via LeMat-Bulk. Energies are from PBE.

Summary:
M_tot   0.0 μB/f.u.
Crystal system   orthorhombic
N(E_F)   5.99 states/eV/f.u.
Raw total energy   -6.532 eV/atom
Formation energy from raw total energies   -579 kJ/mol of formula units

Lattice parameters (Å, degrees): 4.411 13.505 13.623 90.00 90.00 90.00
Space group Fmmm (No. 69)
Symmetry-distinct sites (fractional):
Li 0.000 0.000 0.000
Ta 0.000 0.179 0.500
S 0.000 0.000 0.500
S 0.000 0.177 0.109

2.
Here is an optimized crystal structure of LiTa2S from Alexandria via LeMat-Bulk. Energies are from PBE.

Summary:
M_tot   0.0 μB/f.u.
Crystal system   tetragonal
N(E_F)   4.16 states/eV/f.u.
Raw total energy   -7.174 eV/atom
Formation energy from raw total energies   101 kJ/mol of formula units

Lattice parameters (Å, degrees): 3.788 3.788 18.932 90.00 90.00 90.00
Space group I-42d (No. 122)
Symmetry-distinct sites (fractional):
Li 0.000 0.000 0.000
Ta 0.242 0.250 0.625
S 0.000 0.000 0.500

3.
Here is an optimized crystal structure of Li3TaS from Alexandria via LeMat-Bulk. Energies are from PBE.

Summary:
M_tot   4.0 μB/f.u.
Crystal system   cubic
Offset from the most stable computed form   0 meV per atom
N(E_F)   5.39 states/eV/f.u.
Raw total energy   -3.929 eV/atom
Formation energy from raw total energies   200 kJ/mol of formula units

Lattice parameters (Å, degrees): 4.589 4.589 4.589 90.00 90.00 90.00
Space group Pm-3m (No. 221)
Symmetry-distinct sites (fractional):
Li 0.000 0.000 0.500
Ta 0.500 0.500 0.500
S 0.000 0.000 0.000

4.
Here is an optimized crystal structure of Li2Ta2TiS6 from Alexandria via LeMat-Bulk. Energies are from PBE.

Summary:
M_tot   0.0 μB/f.u.
Crystal system   monoclinic
N(E_F)   4.50 states/eV/f.u.
Raw total energy   -6.681 eV/atom
Formation energy from raw total energies   -1283 kJ/mol of formula units

Lattice parameters (Å, degrees): 5.969 10.308 6.605 90.00 105.45 90.00
Space group C2/m (No. 12)
Symmetry-distinct sites (fractional):
Li 0.000 0.176 0.000
Ta 0.000 0.358 0.500
Ti 0.000 0.000 0.500
S 0.234 0.169 0.727
S 0.243 0.000 0.247

5.
Here is an optimized crystal structure of Li4TaTi3S8 from Alexandria via LeMat-Bulk. Energies are from PBE.

Summary:
M_tot   0.3 μB/f.u.
Crystal system   trigonal
N(E_F)   8.89 states/eV/f.u.
Raw total energy   -6.091 eV/atom
Formation energy from raw total energies   -2050 kJ/mol of formula units

Lattice parameters (Å, degrees): 6.8948 6.8948 18.6830 90.00 90.00 120.00
Space group R-3m (No. 166, hexagonal axes)
Symmetry-distinct sites (fractional):
Li 0.0000 0.0000 0.0000
Li 0.0000 0.5000 0.0000
Ta 0.0000 0.0000 0.5000
Ti 0.0000 0.5000 0.5000
S 0.0000 0.0000 0.2456
S 0.0020 0.5010 0.7533

6.
Here is an optimized crystal structure of Li2TaTi2S6 from Alexandria via LeMat-Bulk. Energies are from PBE.

Summary:
M_tot   0.0 μB/f.u.
Crystal system   monoclinic
N(E_F)   5.53 states/eV/f.u.
Raw total energy   -6.414 eV/atom
Formation energy from raw total energies   -1382 kJ/mol of formula units

Lattice parameters (Å, degrees): 5.925 10.265 6.605 90.00 107.37 90.00
Space group C2/m (No. 12)
Symmetry-distinct sites (fractional):
Li 0.000 0.166 0.000
Ta 0.000 0.000 0.500
Ti 0.000 0.334 0.500
S 0.242 0.500 0.737
S 0.246 0.168 0.736

7.
Here is an optimized crystal structure of Li2TaTl3S6 from Alexandria via LeMat-Bulk. Energies are from PBE.

Summary:
M_tot   0.0 μB/f.u.
Crystal system   monoclinic
N(E_F)   3.40 states/eV/f.u.
Raw total energy   -4.639 eV/atom
Formation energy from raw total energies   -784 kJ/mol of formula units

Lattice parameters (Å, degrees): 6.737 11.690 7.079 90.00 108.78 90.00
Space group C2/m (No. 12)
Symmetry-distinct sites (fractional):
Li 0.000 0.165 0.000
Ta 0.000 0.500 0.000
Tl 0.000 0.000 0.500
Tl 0.000 0.336 0.500
S 0.220 0.348 0.203
S 0.238 0.500 0.796

8.
Here is an optimized crystal structure of Li2TaTlS4 from Alexandria via LeMat-Bulk. Energies are from PBE.

Summary:
M_tot   0.0 μB/f.u.
Crystal system   tetragonal
N(E_F)   0.00 states/eV/f.u.
Raw total energy   -5.320 eV/atom
Formation energy from raw total energies   -772 kJ/mol of formula units

Lattice parameters (Å, degrees): 6.713 6.713 8.662 90.00 90.00 90.00
Space group I-42m (No. 121)
Symmetry-distinct sites (fractional):
Li 0.000 0.500 0.250
Ta 0.000 0.000 0.000
Tl 0.000 0.000 0.500
S 0.196 0.196 0.155

9.
Here is an optimized crystal structure of Li3U3TaS8 from Alexandria via LeMat-Bulk. Energies are from PBE.

Summary:
M_tot   8.3 μB/f.u.
Crystal system   trigonal
N(E_F)   14.78 states/eV/f.u.
Raw total energy   -6.925 eV/atom
Formation energy from raw total energies   -1872 kJ/mol of formula units

Lattice parameters (Å, degrees): 7.4691 7.4691 19.0673 90.00 90.00 120.00
Space group R-3m (No. 166, hexagonal axes)
Symmetry-distinct sites (fractional):
Li 0.0000 0.5000 0.0000
U 0.0000 0.5000 0.5000
Ta 0.0000 0.0000 0.5000
S 0.0000 0.0000 0.2551
S 0.0230 0.5115 0.2479

10.
Here is an optimized crystal structure of Li2UTa2S6 from Alexandria via LeMat-Bulk. Energies are from PBE.

Summary:
M_tot   0.0 μB/f.u.
Crystal system   monoclinic
N(E_F)   2.84 states/eV/f.u.
Raw total energy   -6.970 eV/atom
Formation energy from raw total energies   -1262 kJ/mol of formula units

Lattice parameters (Å, degrees): 6.144 10.375 6.716 90.00 106.22 90.00
Space group C2/m (No. 12)
Symmetry-distinct sites (fractional):
Li 0.000 0.168 0.000
U 0.000 0.000 0.500
Ta 0.000 0.348 0.500
S 0.235 0.500 0.753
S 0.247 0.176 0.738

11.
Here is an optimized crystal structure of Li2U2TaS6 from Alexandria via LeMat-Bulk. Energies are from PBE.

Summary:
M_tot   4.7 μB/f.u.
Crystal system   monoclinic
N(E_F)   10.29 states/eV/f.u.
Raw total energy   -6.977 eV/atom
Formation energy from raw total energies   -1325 kJ/mol of formula units

Lattice parameters (Å, degrees): 6.392 10.984 6.690 90.00 108.20 90.00
Space group C2/m (No. 12)
Symmetry-distinct sites (fractional):
Li 0.000 0.168 0.000
U 0.000 0.337 0.500
Ta 0.000 0.000 0.500
S 0.225 0.000 0.247
S 0.236 0.159 0.746

12.
Here is an optimized crystal structure of Li2TaVS from Alexandria via LeMat-Bulk. Energies are from PBE.

Summary:
M_tot   0.0 μB/f.u.
Crystal system   tetragonal
N(E_F)   3.57 states/eV/f.u.
Raw total energy   -5.462 eV/atom
Formation energy from raw total energies   156 kJ/mol of formula units

Lattice parameters (Å, degrees): 4.165 4.165 4.447 90.00 90.00 90.00
Space group P4/mmm (No. 123)
Symmetry-distinct sites (fractional):
Li 0.000 0.500 0.000
Ta 0.000 0.000 0.500
V 0.500 0.500 0.500
S 0.500 0.500 0.000

Q: The highest raw total energy belongs to which entry?
A: Li3TaS

Q: The highest M_tot belongs to which entry?
A: Li3U3TaS8

Q: Among the records above, which one has the highest M_tot?
A: Li3U3TaS8

Q: What is the raw total energy in the twelfth record?
A: -5.462 eV/atom